(1)
This record from Alexandria describes an optimized crystal structure of K2VClO. The functional is PBE+U.

Lattice parameters (Å, degrees): 6.2875 4.5912 6.2875 90.00 90.00 90.00
Closest atoms and distances in Å follow each position.
Sites, in units of the cell vectors:
1 Cl 0.0000 0.5000 0.0000  2 V 2.30
2 K 0.5000 0.0000 0.0000  2 V 3.14
3 K 0.0000 0.0000 0.5000  2 V 3.14
4 O 0.5000 0.5000 0.5000  8 K 3.89
5 V 0.0000 0.0000 0.0000  2 Cl 2.30

**Spin magnetization**: 3.93 Bohr magnetons per cell
**Density of states at the Fermi level**: 0.557 states/eV per atom
**Volume**: 36.3 Å³/atom
**VASP energy**: -15.51 eV/cell

(2)
This record from Alexandria describes an optimized crystal structure of KVClO2. The functional is PBE+U.

Lattice parameters (Å, degrees): 3.8435 7.3328 8.0684 102.70 90.00 90.00
Closest atoms and distances in Å follow each position.
Sites, in units of the cell vectors:
1 O 0.2500 0.0894 0.0765  3 V 1.93-2.00
2 O 0.2500 0.0276 0.6932  1 V 1.68
3 O 0.7500 0.9724 0.3068  1 V 1.68
4 O 0.7500 0.9106 0.9235  3 V 1.93-2.00
5 V 0.7500 0.0802 0.1435  1 O 1.68
6 V 0.2500 0.9198 0.8565  1 O 1.68
7 Cl 0.7500 0.4054 0.2689  1 V 2.38
8 Cl 0.2500 0.5946 0.7311  1 V 2.38
9 K 0.7500 0.2545 0.6169  3 O 2.70-2.87
10 K 0.2500 0.7455 0.3831  3 O 2.70-2.87

**Spin magnetization**: 2.00 Bohr magnetons per cell
**Density of states at the Fermi level**: 0.000 states/eV per atom
**Volume**: 22.2 Å³/atom
**VASP energy**: -59.57 eV/cell

(3)
This record from Alexandria describes an optimized crystal structure of KW2ClO. The functional is PBE+U.

Lattice parameters (Å, degrees): 4.7943 5.8216 4.7943 90.00 90.00 90.00
Closest atoms and distances in Å follow each position.
Sites, in units of the cell vectors:
1 W 0.5000 0.0000 0.0000  2 Cl 2.40
2 W 0.0000 0.0000 0.5000  2 Cl 2.40
3 O 0.0000 0.5000 0.0000  2 Cl 2.91
4 K 0.5000 0.5000 0.5000  4 O 3.39, 8 W 3.77
5 Cl 0.0000 0.0000 0.0000  4 W 2.40

**Spin magnetization**: 8.03 Bohr magnetons per cell
**Density of states at the Fermi level**: 0.496 states/eV per atom
**Volume**: 26.8 Å³/atom
**VASP energy**: -15.82 eV/cell

(4)
This record from Alexandria describes an optimized crystal structure of KWClO3. The functional is PBE+U.

Lattice parameters (Å, degrees): 5.5648 5.6591 9.9640 73.29 90.00 89.99
Closest atoms and distances in Å follow each position.
Sites, in units of the cell vectors:
1 W 0.2500 0.9692 0.0611  1 O 1.74
2 W 0.7500 0.0308 0.9389  1 O 1.74
3 K 0.7500 0.7493 0.5004  4 Cl 3.05-3.09
4 K 0.2500 0.2507 0.4996  4 Cl 3.05-3.09
5 O 0.5000 0.2195 0.0000  2 W 1.95
6 O 0.5000 0.7805 0.0000  2 W 1.95
7 O 0.0001 0.7805 0.0000  2 W 1.95
8 O 0.9999 0.2195 0.0000  2 W 1.95
9 O 0.7500 0.1228 0.7569  1 W 1.74
10 O 0.2500 0.8772 0.2431  1 W 1.74
11 Cl 0.7500 0.3154 0.3695  4 K 3.05-3.09
12 Cl 0.2500 0.6846 0.6305  4 K 3.05-3.09

**Spin magnetization**: 0.22 Bohr magnetons per cell
**Volume**: 25.0 Å³/atom
**VASP energy**: -71.29 eV/cell

(5)
This record from Alexandria describes an optimized crystal structure of K2WCl5O. The functional is PBE+U.

Lattice parameters (Å, degrees): 7.0408 7.0408 7.0408 91.21 119.30 119.30
Closest atoms and distances in Å follow each position.
Sites, in units of the cell vectors:
1 Cl 0.4826 0.2401 0.2401  1 W 2.44
2 Cl 0.5174 0.7575 0.7575  1 W 2.44
3 Cl 0.0000 0.2343 0.2343  1 W 2.51
4 Cl 0.0000 0.2401 0.7575  1 W 2.44
5 Cl 0.0000 0.7575 0.2401  1 W 2.44
6 O 0.0000 0.8005 0.8005  1 W 1.76
7 K 0.5000 0.2454 0.7454  10 Cl 3.50-3.56, 2 O 3.60
8 K 0.5000 0.7454 0.2454  10 Cl 3.50-3.56, 2 O 3.60
9 W 0.0000 0.9790 0.9790  1 O 1.76

**Spin magnetization**: 0.96 Bohr magnetons per cell
**Density of states at the Fermi level**: 0.000 states/eV per atom
**Volume**: 27.7 Å³/atom
**VASP energy**: -37.89 eV/cell